Record 1
CdCuTe2 | PBEsol | relaxed

ΔE_f (raw)	0.095	eV/atom
total magnetization	0.0	μB per formula unit
density of states at the Fermi level	5.197	states/eV per cell

Lattice parameters (Å, degrees): 3.6906 3.9925 12.7372 90.00 90.00 90.00
Last column: nearest neighbours and their distance in Å.
Space group Imm2 (No. 44)
One atom of each set of equivalent atoms:
Cd1 0.0000 0.0000 0.0000  6 Te 2.97-3.05
Cu1 0.0000 0.5000 0.7379  6 Te 2.69-2.84
Te1 0.0000 0.0000 0.3917  2 Cu 2.69
Te2 0.0000 0.5000 0.1723  4 Cu 2.84, 2 Cd 2.97



Record 2
CdCuTe2 | PBEsol | relaxed

ΔE_f (raw)	0.422	eV/atom
total magnetization	0.0	μB per formula unit
density of states at the Fermi level	10.093	states/eV per cell

Lattice parameters (Å, degrees): 7.1421 7.1421 7.1421 90.00 90.00 90.00
Last column: nearest neighbours and their distance in Å.
Space group F-43m (No. 216)
One atom of each set of equivalent atoms:
Cd1 0.0000 0.0000 0.0000  4 Cu 3.09, 4 Te 3.09
Cu1 0.2500 0.2500 0.2500  4 Te 3.09, 4 Cd 3.09
Te1 0.0000 0.0000 0.5000  4 Te 3.09, 4 Cu 3.09
Te2 0.2500 0.2500 0.7500  4 Cd 3.09, 4 Te 3.09